CaIn3C: optimized geometry, GGA-PBE.

Space group   Pm-3m (221)
Energy above the most stable polymorph in this dataset   1278 meV per atom
Magnetization   1.08 Bohr magnetons per cell

Unit cell a=6.026 b=6.026 c=6.026 alpha=90.00 beta=90.00 gamma=90.00
Element x y z (fractional)
Ca 0.000 0.000 0.000
In 0.000 0.000 0.500
In 0.000 0.500 0.000
In 0.500 0.000 0.000
C 0.500 0.500 0.500

Ca4In2C: optimized geometry, GGA-PBE.

Space group   I4/mmm (139)
Magnetization   0.00 Bohr magnetons per cell

Unit cell a=5.058 b=5.058 c=16.308 alpha=90.00 beta=90.00 gamma=90.00
Element x y z (fractional)
Ca 0.000 0.000 0.158
Ca 0.000 0.000 0.842
Ca 0.000 0.500 0.000
Ca 0.000 0.500 0.500
Ca 0.500 0.000 0.000
Ca 0.500 0.000 0.500
Ca 0.500 0.500 0.342
Ca 0.500 0.500 0.658
In 0.000 0.000 0.361
In 0.000 0.000 0.639
In 0.500 0.500 0.139
In 0.500 0.500 0.861
C 0.000 0.000 0.000
C 0.500 0.500 0.500

CaInC3: optimized geometry, GGA-PBE.

Space group   Pm-3m (221)
Energy above the most stable polymorph in this dataset   759 meV per atom
Magnetization   1.22 Bohr magnetons per cell

Unit cell a=4.537 b=4.537 c=4.537 alpha=90.00 beta=90.00 gamma=90.00
Element x y z (fractional)
Ca 0.000 0.000 0.000
In 0.500 0.500 0.500
C 0.000 0.000 0.500
C 0.000 0.500 0.000
C 0.500 0.000 0.000

Ca2InC: optimized geometry, GGA-PBE.

Space group   Fm-3m (225)
Magnetization   0.00 Bohr magnetons per cell

Unit cell a=7.156 b=7.156 c=7.156 alpha=90.00 beta=90.00 gamma=90.00
Element x y z (fractional)
Ca 0.250 0.250 0.250
Ca 0.250 0.250 0.750
Ca 0.250 0.750 0.250
Ca 0.250 0.750 0.750
Ca 0.750 0.250 0.250
Ca 0.750 0.250 0.750
Ca 0.750 0.750 0.250
Ca 0.750 0.750 0.750
In 0.000 0.000 0.000
In 0.000 0.500 0.500
In 0.500 0.000 0.500
In 0.500 0.500 0.000
C 0.000 0.000 0.500
C 0.000 0.500 0.000
C 0.500 0.000 0.000
C 0.500 0.500 0.500

Here are the calculated DOS at the Fermi energy numbers, same order: 1.06; 1.33; 0.90; 0.73 (states/eV/atom).
Here are the calculated VASP energy numbers, same order: -10.03; -45.33; -17.17; -53.07 (eV/cell).
Here are the calculated formation enthalpy at 0 K numbers, same order: 1.88; 0.01; 3.05; 0.67 (eV/atom).